The following is a PBE-GGA calculation of a relaxed Be2P crystal, from Alexandria via LeMat-Bulk.

Symmetry   No. 1
Energy of formation   -35 meV per atom
Excess energy over the best structure of this formula in the dataset   101 meV/atom
E   -25.9 eV for the cell shown

a b c (Å): 3.490 3.571 6.544
angles (deg): 92.85 96.07 103.85
Fractional coordinates of all 6 atoms:
P (0.516, 0.549, 0.121)
P (0.901, 0.413, 0.610)
Be (0.962, 0.452, 0.930)
Be (0.150, 0.962, 0.152)
Be (0.798, 0.875, 0.426)
Be (0.353, 0.313, 0.435)

=====

The following is a PBE-GGA calculation of a relaxed ZrSc2Ni9 crystal, from Alexandria via LeMat-Bulk.

Symmetry   No. 194
Energy of formation   -436 meV per atom
E   -157.0 eV for the cell shown

a b c (Å): 4.814 4.814 15.849
angles (deg): 90.00 90.00 120.00
Fractional coordinates of all 24 atoms:
Zr (0.333, 0.667, 0.750)
Zr (0.667, 0.333, 0.250)
Sc (0.333, 0.667, 0.541)
Sc (0.667, 0.333, 0.041)
Sc (0.667, 0.333, 0.459)
Sc (0.333, 0.667, 0.959)
Ni (0.000, 0.000, 0.000)
Ni (0.000, 0.000, 0.500)
Ni (0.000, 0.000, 0.250)
Ni (0.000, 0.000, 0.750)
Ni (0.333, 0.667, 0.250)
Ni (0.667, 0.333, 0.750)
Ni (0.168, 0.335, 0.124)
Ni (0.665, 0.832, 0.124)
Ni (0.168, 0.832, 0.124)
Ni (0.832, 0.665, 0.624)
Ni (0.335, 0.168, 0.624)
Ni (0.832, 0.168, 0.624)
Ni (0.335, 0.168, 0.876)
Ni (0.832, 0.665, 0.876)
Ni (0.832, 0.168, 0.876)
Ni (0.665, 0.832, 0.376)
Ni (0.168, 0.335, 0.376)
Ni (0.168, 0.832, 0.376)

=====

The following is a PBE-GGA calculation of a relaxed MnNi2P crystal, from Alexandria via LeMat-Bulk.

Symmetry   No. 216
Energy of formation   -182 meV per atom
E   -26.9 eV for the cell shown

a b c (Å): 3.962 3.962 3.962
angles (deg): 60.00 60.00 60.00
Each line ends with the local moment (μB).
Fractional coordinates of all 4 atoms:
Mn (0.500, 0.500, 0.500)  2.14
Ni (0.000, 0.000, 0.000)  0.16
Ni (0.250, 0.250, 0.250)  0.35
P (0.750, 0.750, 0.750)  -0.04

=====

The following is a PBE-GGA calculation of a relaxed KBaF4 crystal, from Alexandria via LeMat-Bulk.

Symmetry   No. 166
Formation energy (no corrections)   -2.809 eV/atom
Excess energy over the best structure of this formula in the dataset   3 meV/atom
E   -27.4 eV for the cell shown

a b c (Å): 4.489 4.489 7.591
angles (deg): 72.80 72.80 60.00
Each line ends with the local moment (μB).
Fractional coordinates of all 6 atoms:
K (0.500, 0.500, 0.500)  0.00
Ba (0.000, 0.000, 0.000)  0.02
F (0.631, 0.631, 0.107)  0.16
F (0.369, 0.369, 0.893)  0.16
F (0.122, 0.122, 0.635)  0.29
F (0.878, 0.878, 0.365)  0.29

=====

The following is a PBE-GGA calculation of a relaxed MnCd2Ag2 crystal, from Alexandria via LeMat-Bulk.

Symmetry   No. 127
Energy of formation   240 meV per atom
E   -31.0 eV for the cell shown

a b c (Å): 7.686 7.686 3.358
angles (deg): 90.00 90.00 90.00
Each line ends with the local moment (μB).
Fractional coordinates of all 10 atoms:
Mn (0.000, 0.000, 0.000)  4.13
Mn (0.500, 0.500, 0.000)  4.14
Ag (0.366, 0.866, 0.000)  0.02
Ag (0.866, 0.634, 0.000)  0.02
Ag (0.634, 0.134, 0.000)  0.02
Ag (0.134, 0.366, 0.000)  0.02
Cd (0.166, 0.666, 0.500)  0.00
Cd (0.666, 0.834, 0.500)  0.00
Cd (0.834, 0.334, 0.500)  0.00
Cd (0.334, 0.166, 0.500)  0.00

=====

The following is a PBE-GGA calculation of a relaxed NpIn2Sn crystal, from Alexandria via LeMat-Bulk.

Symmetry   No. 123
Energy of formation   -78 meV per atom
Excess energy over the best structure of this formula in the dataset   0 meV/atom
E   -22.7 eV for the cell shown

a b c (Å): 4.809 4.556 4.556
angles (deg): 90.00 90.00 90.00
Each line ends with the local moment (μB).
Fractional coordinates of all 4 atoms:
Np (0.500, 0.500, 0.500)  3.94
Sn (0.500, 0.000, 0.000)  -0.01
In (0.000, 0.000, 0.500)  0.01
In (0.000, 0.500, 0.000)  0.01

=====

The following is a PBE-GGA calculation of a relaxed MoRu4 crystal, from Alexandria via LeMat-Bulk.

Symmetry   No. 139
Energy of formation   605 meV per atom
E   -44.9 eV for the cell shown

a b c (Å): 6.536 6.536 6.536
angles (deg): 147.89 147.89 46.05
Fractional coordinates of all 5 atoms:
Mo (0.000, 0.000, 0.000)
Ru (0.250, 0.750, 0.500)
Ru (0.598, 0.598, 0.000)
Ru (0.402, 0.402, 0.000)
Ru (0.750, 0.250, 0.500)

=====

The following is a PBE-GGA calculation of a relaxed Zn2InSb crystal, from Alexandria via LeMat-Bulk.

Symmetry   No. 47
Formation energy (no corrections)   0.134 eV/atom
Excess energy over the best structure of this formula in the dataset   43 meV/atom
E   -8.9 eV for the cell shown

a b c (Å): 4.153 5.357 4.018
angles (deg): 90.00 90.00 90.00
Fractional coordinates of all 4 atoms:
In (0.500, 0.000, 0.500)
Sb (0.000, 0.500, 0.500)
Zn (0.000, 0.000, 0.000)
Zn (0.500, 0.500, 0.000)

=====

The following is a PBE-GGA calculation of a relaxed LaCd7Pd5 crystal, from Alexandria via LeMat-Bulk.

Symmetry   No. 44
Energy of formation   -413 meV per atom
E   -42.7 eV for the cell shown

a b c (Å): 5.703 7.353 7.353
angles (deg): 81.47 67.18 67.18
Fractional coordinates of all 13 atoms:
La (0.050, 0.950, 0.950)
Cd (0.687, 0.313, 0.313)
Cd (0.374, 0.626, 0.626)
Cd (0.980, 0.363, 0.676)
Cd (0.980, 0.676, 0.363)
Cd (0.265, 0.235, 0.235)
Cd (0.495, 0.799, 0.211)
Cd (0.495, 0.211, 0.799)
Pd (0.485, 0.006, 0.514)
Pd (0.995, 0.006, 0.514)
Pd (0.485, 0.514, 0.006)
Pd (0.995, 0.514, 0.006)
Pd (0.713, 0.787, 0.787)

=====

The following is a PBE-GGA calculation of a relaxed NaY2In crystal, from Alexandria via LeMat-Bulk.

Symmetry   No. 122
Energy of formation   266 meV per atom
E   -31.8 eV for the cell shown

a b c (Å): 4.647 4.647 12.048
angles (deg): 78.88 78.88 90.00
Fractional coordinates of all 8 atoms:
Y (0.641, 0.125, 0.250)
Y (0.109, 0.625, 0.250)
Y (0.375, 0.359, 0.750)
Y (0.875, 0.891, 0.750)
Na (0.500, 0.500, 0.000)
Na (0.250, 0.750, 0.500)
In (0.000, 0.000, 0.000)
In (0.750, 0.250, 0.500)

=====

The following is a PBE-GGA calculation of a relaxed BaZrBePt2 crystal, from Alexandria via LeMat-Bulk.

Symmetry   No. 123
Energy of formation   1585 meV per atom
E   -18.4 eV for the cell shown

a b c (Å): 5.279 4.738 5.279
angles (deg): 90.00 90.00 90.00
Each line ends with the local moment (μB).
Fractional coordinates of all 5 atoms:
Zr (0.500, 0.500, 0.500)  0.62
Ba (0.000, 0.000, 0.000)  -0.01
Pt (0.000, 0.000, 0.500)  0.02
Pt (0.500, 0.000, 0.000)  -0.02
Be (0.000, 0.500, 0.000)  0.01

=====

Q: Look up the E of the first one.
A: -25.9 eV for the cell shown

=====

Q: Look up the E of the third one.
A: -26.9 eV for the cell shown

=====

Q: What is the E in the first record?
A: -25.9 eV for the cell shown